Entry 1:
Material: Cs3Ac3NbSe8
Method: DFT, PBE
State: relaxed

Formation energy without anion corrections   -1.521 eV per atom

Cell: 8.8730 8.8730 25.7355 Å, 90.00 90.00 120.00°
Space group R-3m (No. 166, hexagonal axes)
Unique sites:
Cs 0.0000 0.5000 0.0000 (multiplicity 9)
Ac 0.0000 0.5000 0.5000 (multiplicity 9)
Nb 0.0000 0.0000 0.5000 (multiplicity 3)
Se 0.0000 0.0000 0.2338 (multiplicity 6)
Se 0.0410 0.5205 0.2261 (multiplicity 18)

Entry 2:
Material: Cs2AcNbSe4
Method: DFT, PBE
State: relaxed

Formation energy without anion corrections   -1.085 eV per atom

Cell: 8.223 8.223 9.866 Å, 90.00 90.00 90.00°
Space group I-4 (No. 82)
Unique sites:
Cs 0.000 0.000 0.000 (multiplicity 2)
Cs 0.000 0.500 0.250 (multiplicity 2)
Ac 0.000 0.000 0.500 (multiplicity 2)
Nb 0.000 0.500 0.750 (multiplicity 2)
Se 0.167 0.273 0.642 (multiplicity 8)

Entry 3:
Material: CsAcNd2
Method: DFT, PBE
State: relaxed

Formation energy   0.288 eV/atom

Cell: 3.8417 3.8417 41.4084 Å, 90.00 90.00 120.00°
Space group R-3m (No. 166, hexagonal axes)
Unique sites:
Cs 0.0000 0.0000 0.0000 (multiplicity 3)
Ac 0.0000 0.0000 0.5000 (multiplicity 3)
Nd 0.0000 0.0000 0.0933 (multiplicity 6)

Entry 4:
Material: CsAc2Nd
Method: DFT, PBE
State: relaxed

Formation energy   0.214 eV/atom

Cell: 3.9769 3.9769 42.7499 Å, 90.00 90.00 120.00°
Space group R-3m (No. 166, hexagonal axes)
Unique sites:
Cs 0.0000 0.0000 0.0000 (multiplicity 3)
Ac 0.0000 0.0000 0.0961 (multiplicity 6)
Nd 0.0000 0.0000 0.5000 (multiplicity 3)